[1]
# NdEr6Tm3Th2 | Alexandria via LeMat-Bulk | PBE-GGA | optimized geometry
# Energy of formation   0.04 eV per atom
# Uncorrected energy   -59.97 eV/cell
# Space group   C2/m, No. 12
data_NdEr6Tm3Th2
_symmetry_space_group_name_H-M 'P 1'
_symmetry_Int_Tables_number 1
_cell_length_a 6.133
_cell_length_b 6.133
_cell_length_c 11.647
_cell_angle_alpha 95.05
_cell_angle_beta 95.05
_cell_angle_gamma 119.94
loop_
_symmetry_equiv_pos_as_xyz
'x,y,z'
loop_
_atom_site_label
_atom_site_fract_x
_atom_site_fract_y
_atom_site_fract_z
_atom_site_occupancy
Nd1 0.000 0.000 0.000 1
Er1 0.084 0.422 0.250 1
Er2 0.254 0.254 0.750 1
Er3 0.422 0.084 0.250 1
Er4 0.578 0.916 0.750 1
Er5 0.746 0.746 0.250 1
Er6 0.916 0.578 0.750 1
Tm1 0.166 0.834 0.500 1
Tm2 0.500 0.500 0.500 1
Tm3 0.834 0.166 0.500 1
Th1 0.333 0.667 0.000 1
Th2 0.667 0.333 0.000 1

[2]
# Pr3AlSi3 | Alexandria via LeMat-Bulk | PBE-GGA | optimized geometry
# Formation energy without anion corrections   -0.69 eV per atom
# Uncorrected energy   -39.17 eV/cell
# Space group   Imm2, No. 44
data_Pr3AlSi3
_symmetry_space_group_name_H-M 'P 1'
_symmetry_Int_Tables_number 1
_cell_length_a 9.746
_cell_length_b 9.746
_cell_length_c 9.746
_cell_angle_alpha 156.07
_cell_angle_beta 153.63
_cell_angle_gamma 35.90
loop_
_symmetry_equiv_pos_as_xyz
'x,y,z'
loop_
_atom_site_label
_atom_site_fract_x
_atom_site_fract_y
_atom_site_fract_z
_atom_site_occupancy
Pr1 0.000 0.000 0.000 1
Pr2 0.191 0.691 0.500 1
Pr3 0.370 0.370 0.000 1
Al1 0.621 0.121 0.500 1
Si1 0.543 0.543 0.000 1
Si2 0.753 0.253 0.500 1
Si3 0.829 0.829 0.000 1

[3]
# Cs2ZrCdBr6 | Alexandria via LeMat-Bulk | PBE-GGA | optimized geometry
# Formation energy without anion corrections   -1.36 eV per atom
# Uncorrected energy   -34.85 eV/cell
# Space group   Fm-3m, No. 225
data_Cs2ZrCdBr6
_symmetry_space_group_name_H-M 'P 1'
_symmetry_Int_Tables_number 1
_cell_length_a 8.567
_cell_length_b 8.567
_cell_length_c 8.567
_cell_angle_alpha 60.00
_cell_angle_beta 60.00
_cell_angle_gamma 60.00
loop_
_symmetry_equiv_pos_as_xyz
'x,y,z'
loop_
_atom_site_label
_atom_site_fract_x
_atom_site_fract_y
_atom_site_fract_z
_atom_site_occupancy
Cs1 0.250 0.250 0.250 1
Cs2 0.750 0.750 0.750 1
Zr1 0.000 0.000 0.000 1
Cd1 0.500 0.500 0.500 1
Br1 0.220 0.220 0.780 1
Br2 0.220 0.780 0.220 1
Br3 0.220 0.780 0.780 1
Br4 0.780 0.220 0.220 1
Br5 0.780 0.220 0.780 1
Br6 0.780 0.780 0.220 1

no.,total magnetic moment (μB/f.u.)
1,0.000
2,0.449
3,0.000